No. 1
YAgSn PBE-GGA optimized geometry; energy relative to the elements = -1.30 eV per formula unit; density of states at the Fermi level = 0.6946 states/eV per atom
1.0
5.6547 0.0000 0.0000
0.0000 3.4317 0.0000
-2.7571 0.0000 7.5946
Y Ag Sn
2 2 2
Direct
0.1509 0.0000 0.3096
0.8491 0.0000 0.6904
0.2441 0.5000 0.0000
0.7559 0.5000 0.0000
0.3425 0.5000 0.6766
0.6575 0.5000 0.3234

No. 2
P2S2Br PBE-GGA optimized geometry; formation energy without anion corrections = 828 kJ/mol of formula units; density of states at the Fermi level = 0.9827 states/eV per atom
1.0
4.9817 0.0000 0.0000
0.0000 4.9817 0.0000
0.0000 0.0000 4.6229
P S Br
2 2 1
Direct
0.0000 0.5000 0.0000
0.5000 0.0000 0.0000
0.0000 0.0000 0.5000
0.5000 0.5000 0.5000
0.0000 0.0000 0.0000

No. 3
SnGePt3 PBE-GGA optimized geometry; energy relative to the elements = 4.08 eV per formula unit; density of states at the Fermi level = 0.3855 states/eV per atom
1.0
4.9525 0.0000 0.0000
0.0000 4.9525 0.0000
0.0000 0.0000 4.9525
Sn Ge Pt
1 1 3
Direct
0.0000 0.0000 0.0000
0.5000 0.5000 0.5000
0.0000 0.0000 0.5000
0.0000 0.5000 0.0000
0.5000 0.0000 0.0000

No. 4
Rb2TaCl5O PBE-GGA optimized geometry; formation energy without anion corrections = -1620 kJ/mol of formula units; density of states at the Fermi level = 0.0000 states/eV per atom
1.0
-3.5344 3.5344 5.3221
3.5344 -3.5344 5.3221
3.5344 3.5344 -5.3221
Rb Ta Cl O
2 1 5 1
Direct
0.0000 0.5000 0.5000
0.5000 0.0000 0.5000
0.2687 0.2687 0.0000
0.0064 0.0064 0.5182
0.0064 0.4882 0.0000
0.0197 0.0197 0.0000
0.4882 0.0064 0.0000
0.4882 0.4882 0.4818
0.4343 0.4343 0.0000

No. 5
ScCu2IrCl PBE-GGA optimized geometry; formation energy without anion corrections = 312 kJ/mol of formula units; density of states at the Fermi level = 1.0330 states/eV per atom
1.0
4.2992 0.0000 0.0000
0.0000 4.2992 0.0000
0.0000 0.0000 4.8284
Sc Cu Ir Cl
1 2 1 1
Direct
0.0000 0.0000 0.0000
0.0000 0.5000 0.5000
0.5000 0.0000 0.5000
0.5000 0.5000 0.0000
0.5000 0.5000 0.5000

No. 6
LaNd2ErS4 PBE-GGA optimized geometry; formation energy without anion corrections = -1570 kJ/mol of formula units; density of states at the Fermi level = 0.5804 states/eV per atom
1.0
7.0027 0.0000 0.0000
0.0000 3.9998 0.0000
-2.2902 0.0000 6.6761
La Nd Er S
1 2 1 4
Direct
0.0000 0.0000 0.0000
0.5000 0.0000 0.5000
0.5000 0.5000 0.0000
0.0000 0.5000 0.5000
0.2374 0.0000 0.7345
0.2461 0.5000 0.2605
0.7539 0.5000 0.7395
0.7626 0.0000 0.2655

No. 7
Ho2ZrTl PBE-GGA optimized geometry; energy relative to the elements = -0.52 eV per formula unit; density of states at the Fermi level = 1.0176 states/eV per atom
1.0
3.4547 0.0000 0.0000
0.0000 3.4547 0.0000
0.0000 0.0000 9.0809
Ho Zr Tl
2 1 1
Direct
0.0000 0.0000 0.2493
0.0000 0.0000 0.7507
0.5000 0.5000 0.5000
0.5000 0.5000 0.0000

No. 8
Ac3SmTl6 PBE-GGA optimized geometry; energy relative to the elements = 3.14 eV per formula unit; density of states at the Fermi level = 1.4639 states/eV per atom
1.0
0.0000 5.9617 5.9617
5.9617 0.0000 5.9617
5.9617 5.9617 0.0000
Ac Sm Tl
3 1 6
Direct
0.0000 0.0000 0.0000
0.2500 0.2500 0.2500
0.7500 0.7500 0.7500
0.5000 0.5000 0.5000
0.2569 0.2569 0.7431
0.2569 0.7431 0.2569
0.2569 0.7431 0.7431
0.7431 0.2569 0.2569
0.7431 0.2569 0.7431
0.7431 0.7431 0.2569